No. 1
4
Lattice="-2.7724 -2.4387 2.5372 -4.1226 -0.9571 -1.4693 -1.0333 -4.1905 -1.2014" Properties=species:S:1:pos:R:3 comment="ZnCuAu2, relaxed, DFT GGA-PBE" spacegroup="F-43m (216)" crystal_system=cubic e_form_kj_per_mol_atoms=-7 energy_ev_per_atom=-2.946 pbc="T T T"
Au 0.0000 0.0000 0.0000
Au -5.9462 -5.6897 -0.1001
Cu -1.9821 -1.8966 -0.0334
Zn -3.9642 -3.7931 -0.0667



No. 2
9
Lattice="7.3920 0.0000 0.0000 0.0000 7.3920 0.0000 0.0000 0.0000 7.3920" Properties=species:S:1:pos:R:3 comment="KHg3MoSe4, relaxed, DFT GGA-PBE" spacegroup="P-43m (215)" crystal_system=cubic energy_ev_per_atom=-3.181 pbc="T T T"
Hg 3.6960 0.0000 3.6960
Hg 0.0000 3.6960 3.6960
Hg 3.6960 3.6960 0.0000
Se 5.0648 5.0648 2.3273
Se 5.0648 2.3273 5.0648
Se 2.3273 5.0648 5.0648
Se 2.3273 2.3273 2.3273
K 0.0000 0.0000 0.0000
Mo 3.6960 3.6960 3.6960



No. 3
4
Lattice="0.8044 -1.2790 4.2753 -3.4624 -0.8256 2.8091 -0.8991 -4.2492 1.3026" Properties=species:S:1:pos:R:3 comment="ZrAl2Cu, relaxed, DFT GGA-PBE" spacegroup="F-43m (216)" crystal_system=cubic energy_ev_per_atom=-5.056 pbc="T T T"
Cu -1.7786 -3.1769 4.1935
Al -2.6678 -4.7653 6.2902
Al 0.0000 0.0000 0.0000
Zr -0.8893 -1.5884 2.0967